First-principles (PBEsol) data for a relaxed structure of K2CaTa, as listed in Alexandria.

Mass density (g/cm3): 3.38
Uncorrected energy (Ry per atom): -0.2134
Energy relative to the elements (meV/atom): 1334.2
Polymorph energy (0 for the lowest one) (eV per formula unit): 0.83
Total magnetic moment (μB per formula unit): 4.2
Space-group type: P4/mmm, No. 123

Lattice parameters (Å, degrees): 4.8609 4.8609 6.2306 90.00 90.00 90.00
Last column: magnetic moment on the atom in μB.
Fractional positions:
Ca: 0.0000 0.0000 0.5000  0.12
K: 0.0000 0.5000 0.0000  0.03
K: 0.5000 0.0000 0.0000  0.03
Ta: 0.5000 0.5000 0.5000  2.05